Arrangement w

Compound: RbHfPCl2
Source: Alexandria via LeMat-Bulk
Functional: GGA-PBE
Structure: optimized geometry

Space-group type   P4/mmm, No. 123
Spin magnetization   0.9 μB per formula unit

a b c (Å): 5.459 5.459 5.580
angles (deg): 90.00 90.00 90.00
Fractional positions:
1 Rb 0.000 0.000 0.000
2 Hf 0.500 0.500 0.500
3 P 0.000 0.000 0.500
4 Cl 0.000 0.500 0.000
5 Cl 0.500 0.000 0.000

Arrangement x

Compound: RbHfPCl2
Source: Alexandria via LeMat-Bulk
Functional: GGA-PBE
Structure: optimized geometry

Space-group type   P4/mmm, No. 123
Spin magnetization   0.0 μB per formula unit

a b c (Å): 5.188 5.188 5.015
angles (deg): 90.00 90.00 90.00
Fractional positions:
1 Rb 0.000 0.000 0.000
2 Hf 0.500 0.500 0.500
3 P 0.500 0.500 0.000
4 Cl 0.000 0.500 0.500
5 Cl 0.500 0.000 0.500

Which of them is the most stable? Correct choice: arrangement x.

Arrangement w

Compound: HfRePCl2
Source: Alexandria via LeMat-Bulk
Functional: GGA-PBE
Structure: optimized geometry

Space-group type   P4/mmm, No. 123
Spin magnetization   0.7 μB per formula unit

a b c (Å): 4.618 4.618 4.787
angles (deg): 90.00 90.00 90.00
Fractional positions:
1 Hf 0.000 0.000 0.000
2 Re 0.500 0.500 0.000
3 P 0.500 0.500 0.500
4 Cl 0.000 0.500 0.500
5 Cl 0.500 0.000 0.500

Arrangement x

Compound: HfRePCl2
Source: Alexandria via LeMat-Bulk
Functional: GGA-PBE
Structure: optimized geometry

Space-group type   P4/mmm, No. 123
Spin magnetization   5.2 μB per formula unit

a b c (Å): 4.837 4.837 5.246
angles (deg): 90.00 90.00 90.00
Fractional positions:
1 Hf 0.000 0.000 0.000
2 Re 0.500 0.500 0.500
3 P 0.000 0.000 0.500
4 Cl 0.000 0.500 0.000
5 Cl 0.500 0.000 0.000

Arrangement y

Compound: HfRePCl2
Source: Alexandria via LeMat-Bulk
Functional: GGA-PBE
Structure: optimized geometry

Space-group type   P4/mmm, No. 123
Spin magnetization   1.0 μB per formula unit

a b c (Å): 4.706 4.706 4.697
angles (deg): 90.00 90.00 90.00
Fractional positions:
1 Hf 0.000 0.000 0.000
2 Re 0.500 0.500 0.500
3 P 0.500 0.500 0.000
4 Cl 0.000 0.500 0.500
5 Cl 0.500 0.000 0.500

Which of them is the most stable? Correct choice: arrangement x.

Arrangement w

Compound: HfP2RhCl
Source: Alexandria via LeMat-Bulk
Functional: GGA-PBE
Structure: optimized geometry

Space-group type   P4/mmm, No. 123
Spin magnetization   0.0 μB per formula unit

a b c (Å): 4.611 4.611 4.586
angles (deg): 90.00 90.00 90.00
Fractional positions:
1 Hf 0.000 0.000 0.000
2 P 0.000 0.500 0.500
3 P 0.500 0.000 0.500
4 Rh 0.500 0.500 0.500
5 Cl 0.500 0.500 0.000

Arrangement x

Compound: HfP2RhCl
Source: Alexandria via LeMat-Bulk
Functional: GGA-PBE
Structure: optimized geometry

Space-group type   P4/mmm, No. 123
Spin magnetization   1.5 μB per formula unit

a b c (Å): 4.996 4.996 4.792
angles (deg): 90.00 90.00 90.00
Fractional positions:
1 Hf 0.000 0.000 0.000
2 P 0.000 0.500 0.000
3 P 0.500 0.000 0.000
4 Rh 0.500 0.500 0.500
5 Cl 0.000 0.000 0.500

Which of them is the most stable? Correct choice: arrangement w.

Arrangement w

Compound: HfPRuCl2
Source: Alexandria via LeMat-Bulk
Functional: GGA-PBE
Structure: optimized geometry

Space-group type   P4/mmm, No. 123
Spin magnetization   3.1 μB per formula unit

a b c (Å): 4.841 4.841 5.191
angles (deg): 90.00 90.00 90.00
Fractional positions:
1 Hf 0.000 0.000 0.000
2 P 0.000 0.000 0.500
3 Ru 0.500 0.500 0.500
4 Cl 0.000 0.500 0.000
5 Cl 0.500 0.000 0.000

Arrangement x

Compound: HfPRuCl2
Source: Alexandria via LeMat-Bulk
Functional: GGA-PBE
Structure: optimized geometry

Space-group type   P4/mmm, No. 123
Spin magnetization   0.0 μB per formula unit

a b c (Å): 4.614 4.614 4.722
angles (deg): 90.00 90.00 90.00
Fractional positions:
1 Hf 0.000 0.000 0.000
2 P 0.500 0.500 0.000
3 Ru 0.500 0.500 0.500
4 Cl 0.000 0.500 0.500
5 Cl 0.500 0.000 0.500

Which of them is the most stable? Correct choice: arrangement w.

Arrangement w

Compound: HfPS2Cl
Source: Alexandria via LeMat-Bulk
Functional: GGA-PBE
Structure: optimized geometry

Space-group type   P4/mmm, No. 123
Spin magnetization   0.0 μB per formula unit

a b c (Å): 4.829 4.829 5.298
angles (deg): 90.00 90.00 90.00
Fractional positions:
1 Hf 0.000 0.000 0.000
2 P 0.000 0.000 0.500
3 S 0.000 0.500 0.000
4 S 0.500 0.000 0.000
5 Cl 0.500 0.500 0.500

Arrangement x

Compound: HfPS2Cl
Source: Alexandria via LeMat-Bulk
Functional: GGA-PBE
Structure: optimized geometry

Space-group type   P4/mmm, No. 123
Spin magnetization   0.0 μB per formula unit

a b c (Å): 4.570 4.570 4.489
angles (deg): 90.00 90.00 90.00
Fractional positions:
1 Hf 0.000 0.000 0.000
2 P 0.500 0.500 0.000
3 S 0.000 0.500 0.500
4 S 0.500 0.000 0.500
5 Cl 0.500 0.500 0.500

Arrangement y

Compound: HfPS2Cl
Source: Alexandria via LeMat-Bulk
Functional: GGA-PBE
Structure: optimized geometry

Space-group type   P4/mmm, No. 123
Spin magnetization   2.0 μB per formula unit

a b c (Å): 4.965 4.965 4.974
angles (deg): 90.00 90.00 90.00
Fractional positions:
1 Hf 0.000 0.000 0.000
2 P 0.500 0.500 0.500
3 S 0.000 0.500 0.000
4 S 0.500 0.000 0.000
5 Cl 0.000 0.000 0.500

Arrangement z

Compound: HfPS2Cl
Source: Alexandria via LeMat-Bulk
Functional: GGA-PBE
Structure: optimized geometry

Space-group type   P4/mmm, No. 123
Spin magnetization   0.9 μB per formula unit

a b c (Å): 4.593 4.593 4.420
angles (deg): 90.00 90.00 90.00
Fractional positions:
1 Hf 0.000 0.000 0.000
2 P 0.500 0.500 0.500
3 S 0.000 0.500 0.500
4 S 0.500 0.000 0.500
5 Cl 0.500 0.500 0.000

Which of them is the most stable? Correct choice: arrangement y.

Arrangement w

Compound: HfPSCl2
Source: Alexandria via LeMat-Bulk
Functional: GGA-PBE
Structure: optimized geometry

Space-group type   P4/mmm, No. 123
Spin magnetization   1.9 μB per formula unit

a b c (Å): 4.617 4.617 4.879
angles (deg): 90.00 90.00 90.00
Fractional positions:
1 Hf 0.000 0.000 0.000
2 P 0.500 0.500 0.500
3 S 0.500 0.500 0.000
4 Cl 0.000 0.500 0.500
5 Cl 0.500 0.000 0.500

Arrangement x

Compound: HfPSCl2
Source: Alexandria via LeMat-Bulk
Functional: GGA-PBE
Structure: optimized geometry

Space-group type   P4/mmm, No. 123
Spin magnetization   2.9 μB per formula unit

a b c (Å): 5.079 5.079 4.904
angles (deg): 90.00 90.00 90.00
Fractional positions:
1 Hf 0.000 0.000 0.000
2 P 0.500 0.500 0.500
3 S 0.000 0.000 0.500
4 Cl 0.000 0.500 0.000
5 Cl 0.500 0.000 0.000

Arrangement y

Compound: HfPSCl2
Source: Alexandria via LeMat-Bulk
Functional: GGA-PBE
Structure: optimized geometry

Space-group type   P4/mmm, No. 123
Spin magnetization   0.9 μB per formula unit

a b c (Å): 4.607 4.607 4.807
angles (deg): 90.00 90.00 90.00
Fractional positions:
1 Hf 0.000 0.000 0.000
2 P 0.500 0.500 0.000
3 S 0.500 0.500 0.500
4 Cl 0.000 0.500 0.500
5 Cl 0.500 0.000 0.500

Which of them is the most stable? Correct choice: arrangement x.

Arrangement w

Compound: HfSbPCl2
Source: Alexandria via LeMat-Bulk
Functional: GGA-PBE
Structure: optimized geometry

Space-group type   P4/mmm, No. 123
Spin magnetization   1.6 μB per formula unit

a b c (Å): 5.037 5.037 5.473
angles (deg): 90.00 90.00 90.00
Fractional positions:
1 Hf 0.000 0.000 0.000
2 Sb 0.500 0.500 0.500
3 P 0.500 0.500 0.000
4 Cl 0.000 0.500 0.500
5 Cl 0.500 0.000 0.500

Arrangement x

Compound: HfSbPCl2
Source: Alexandria via LeMat-Bulk
Functional: GGA-PBE
Structure: optimized geometry

Space-group type   P4/mmm, No. 123
Spin magnetization   1.3 μB per formula unit

a b c (Å): 4.853 4.853 5.343
angles (deg): 90.00 90.00 90.00
Fractional positions:
1 Hf 0.000 0.000 0.000
2 Sb 0.500 0.500 0.500
3 P 0.000 0.000 0.500
4 Cl 0.000 0.500 0.000
5 Cl 0.500 0.000 0.000

Which of them is the most stable? Correct choice: arrangement x.

Arrangement w

Compound: HfScP2Cl
Source: Alexandria via LeMat-Bulk
Functional: GGA-PBE
Structure: optimized geometry

Space-group type   P4/mmm, No. 123
Spin magnetization   0.0 μB per formula unit

a b c (Å): 5.021 5.021 4.731
angles (deg): 90.00 90.00 90.00
Fractional positions:
1 Hf 0.000 0.000 0.000
2 Sc 0.500 0.500 0.500
3 P 0.000 0.500 0.000
4 P 0.500 0.000 0.000
5 Cl 0.000 0.000 0.500

Arrangement x

Compound: HfScP2Cl
Source: Alexandria via LeMat-Bulk
Functional: GGA-PBE
Structure: optimized geometry

Space-group type   P4/mmm, No. 123
Spin magnetization   0.0 μB per formula unit

a b c (Å): 4.974 4.974 4.546
angles (deg): 90.00 90.00 90.00
Fractional positions:
1 Hf 0.000 0.000 0.000
2 Sc 0.500 0.500 0.500
3 P 0.000 0.500 0.500
4 P 0.500 0.000 0.500
5 Cl 0.500 0.500 0.000

Which of them is the most stable? Correct choice: arrangement w.

Arrangement w

Compound: HfPSeCl2
Source: Alexandria via LeMat-Bulk
Functional: GGA-PBE
Structure: optimized geometry

Space-group type   P4/mmm, No. 123
Spin magnetization   0.2 μB per formula unit

a b c (Å): 4.791 4.791 5.363
angles (deg): 90.00 90.00 90.00
Fractional positions:
1 Hf 0.000 0.000 0.000
2 P 0.000 0.000 0.500
3 Se 0.500 0.500 0.500
4 Cl 0.000 0.500 0.000
5 Cl 0.500 0.000 0.000

Arrangement x

Compound: HfPSeCl2
Source: Alexandria via LeMat-Bulk
Functional: GGA-PBE
Structure: optimized geometry

Space-group type   P4/mmm, No. 123
Spin magnetization   1.6 μB per formula unit

a b c (Å): 4.791 4.791 5.137
angles (deg): 90.00 90.00 90.00
Fractional positions:
1 Hf 0.000 0.000 0.000
2 P 0.500 0.500 0.000
3 Se 0.500 0.500 0.500
4 Cl 0.000 0.500 0.500
5 Cl 0.500 0.000 0.500

Which of them is the most stable? Correct choice: arrangement w.

Arrangement w

Compound: HfTaP2Cl
Source: Alexandria via LeMat-Bulk
Functional: GGA-PBE
Structure: optimized geometry

Space-group type   P4/mmm, No. 123
Spin magnetization   2.5 μB per formula unit

a b c (Å): 5.000 5.000 4.680
angles (deg): 90.00 90.00 90.00
Fractional positions:
1 Hf 0.000 0.000 0.000
2 Ta 0.500 0.500 0.500
3 P 0.000 0.500 0.000
4 P 0.500 0.000 0.000
5 Cl 0.000 0.000 0.500

Arrangement x

Compound: HfTaP2Cl
Source: Alexandria via LeMat-Bulk
Functional: GGA-PBE
Structure: optimized geometry

Space-group type   P4/mmm, No. 123
Spin magnetization   0.7 μB per formula unit

a b c (Å): 4.866 4.866 4.562
angles (deg): 90.00 90.00 90.00
Fractional positions:
1 Hf 0.000 0.000 0.000
2 Ta 0.500 0.500 0.500
3 P 0.000 0.500 0.500
4 P 0.500 0.000 0.500
5 Cl 0.500 0.500 0.000

Which of them is the most stable? Correct choice: arrangement x.

Arrangement w

Compound: HfTeP2Cl
Source: Alexandria via LeMat-Bulk
Functional: GGA-PBE
Structure: optimized geometry

Space-group type   P4/mmm, No. 123
Spin magnetization   0.0 μB per formula unit

a b c (Å): 5.120 5.120 4.776
angles (deg): 90.00 90.00 90.00
Fractional positions:
1 Hf 0.000 0.000 0.000
2 Te 0.500 0.500 0.500
3 P 0.000 0.500 0.000
4 P 0.500 0.000 0.000
5 Cl 0.000 0.000 0.500

Arrangement x

Compound: HfTeP2Cl
Source: Alexandria via LeMat-Bulk
Functional: GGA-PBE
Structure: optimized geometry

Space-group type   P4/mmm, No. 123
Spin magnetization   0.0 μB per formula unit

a b c (Å): 5.107 5.107 4.815
angles (deg): 90.00 90.00 90.00
Fractional positions:
1 Hf 0.000 0.000 0.000
2 Te 0.500 0.500 0.500
3 P 0.000 0.500 0.500
4 P 0.500 0.000 0.500
5 Cl 0.500 0.500 0.000

Which of them is the most stable? Correct choice: arrangement w.

Arrangement w

Compound: HfTlPCl2
Source: Alexandria via LeMat-Bulk
Functional: GGA-PBE
Structure: optimized geometry

Space-group type   P4/mmm, No. 123
Spin magnetization   0.0 μB per formula unit

a b c (Å): 5.084 5.084 5.068
angles (deg): 90.00 90.00 90.00
Fractional positions:
1 Hf 0.000 0.000 0.000
2 Tl 0.500 0.500 0.500
3 P 0.000 0.000 0.500
4 Cl 0.000 0.500 0.000
5 Cl 0.500 0.000 0.000

Arrangement x

Compound: HfTlPCl2
Source: Alexandria via LeMat-Bulk
Functional: GGA-PBE
Structure: optimized geometry

Space-group type   P4/mmm, No. 123
Spin magnetization   1.2 μB per formula unit

a b c (Å): 5.143 5.143 5.295
angles (deg): 90.00 90.00 90.00
Fractional positions:
1 Hf 0.000 0.000 0.000
2 Tl 0.500 0.500 0.500
3 P 0.500 0.500 0.000
4 Cl 0.000 0.500 0.500
5 Cl 0.500 0.000 0.500

Which of them is the most stable? Correct choice: arrangement w.